Record 1
VASP calculation (PBE) on a relaxed Ce2Si4PdPt3 crystal.

Output
E_tot: -6.7593 eV/atom
Space group: P-4m2 (115)
Formation energy (no corrections): -1072 meV per atom

Cell lengths 4.2553, 4.2553, 9.8266 Å; angles 90.00, 90.00, 90.00 degrees
With the nearest neighbours (Å) after each atom.
Fractional positions:
Ce 0.0000 0.5000 0.2471  8 Si 3.23, 6 Pt 3.25-3.27, 2 Pd 3.27
Ce 0.5000 0.0000 0.7529  8 Si 3.23, 6 Pt 3.25-3.27, 2 Pd 3.27
Si 0.0000 0.0000 0.0000  4 Pt 2.44
Si 0.0000 0.5000 0.6326  3 Pt 2.42-2.49, 2 Pd 2.49
Si 0.5000 0.0000 0.3674  3 Pt 2.42-2.49, 2 Pd 2.49
Si 0.5000 0.5000 0.0000  4 Pt 2.44
Pd 0.0000 0.0000 0.5000  4 Si 2.49
Pt 0.0000 0.5000 0.8788  5 Si 2.42-2.44
Pt 0.5000 0.0000 0.1212  5 Si 2.42-2.44
Pt 0.5000 0.5000 0.5000  4 Si 2.49



Record 2
VASP calculation (PBE) on a relaxed AlV2HW crystal.

Output
E_tot: -7.7261 eV/atom
Space group: P4/mmm (123)

Cell lengths 3.8944, 3.8944, 3.9664 Å; angles 90.00, 90.00, 90.00 degrees
With the nearest neighbours (Å) after each atom.
Fractional positions:
Al 0.0000 0.0000 0.0000  4 W 2.75, 8 V 2.78
V 0.0000 0.5000 0.5000  2 H 1.95
V 0.5000 0.0000 0.5000  2 H 1.95
H 0.5000 0.5000 0.5000  4 V 1.95, 2 W 1.98
W 0.5000 0.5000 0.0000  2 H 1.98



Record 3
VASP calculation (PBE) on a relaxed V3H crystal.

Output
Relative energy among the computed polymorphs: 0.86 eV per formula unit
E_tot: -7.5320 eV/atom
Space group: I-4 (82)

Cell lengths 6.5827, 6.5827, 6.5827 Å; angles 97.05, 97.05, 138.97 degrees
With the nearest neighbours (Å) after each atom.
Fractional positions:
V 0.0714 0.5608 0.6999  1 H 1.94
V 0.0798 0.1702 0.8169  2 H 1.99-2.05
V 0.2441 0.6711 0.1099  2 H 1.98-2.03
V 0.3289 0.4388 0.5730  2 H 1.98-2.03
V 0.3534 0.2630 0.1831  2 H 1.99-2.05
V 0.4392 0.1391 0.5106  1 H 1.94
V 0.5612 0.1342 0.8901  2 H 1.98-2.03
V 0.6286 0.9286 0.4894  1 H 1.94
V 0.7370 0.9202 0.0904  2 H 1.99-2.05
V 0.8298 0.6466 0.9096  2 H 1.99-2.05
V 0.8609 0.3714 0.3001  1 H 1.94
V 0.8658 0.7559 0.4270  2 H 1.98-2.03
H 0.1065 0.8390 0.2267  5 V 1.94-2.05
H 0.1202 0.8935 0.7326  5 V 1.94-2.05
H 0.1610 0.3876 0.2674  5 V 1.94-2.05
H 0.6124 0.8798 0.7733  5 V 1.94-2.05



Record 4
VASP calculation (PBE) on a relaxed KBiP2O crystal.

Output
Relative energy among the computed polymorphs: 0.00 eV per formula unit
E_tot: -3.8570 eV/atom
Space group: P4/mmm (123)
Formation energy (no corrections): 294 meV per atom

Cell lengths 5.4768, 5.4768, 4.4292 Å; angles 90.00, 90.00, 90.00 degrees
With the nearest neighbours (Å) after each atom.
Fractional positions:
K 0.0000 0.0000 0.0000  8 P 3.52, 4 O 3.87
Bi 0.5000 0.5000 0.5000  2 O 2.21
P 0.0000 0.5000 0.5000  2 Bi 2.74
P 0.5000 0.0000 0.5000  2 Bi 2.74
O 0.5000 0.5000 0.0000  2 Bi 2.21



Record 5
VASP calculation (PBE) on a relaxed CdRhCl6 crystal.

Output
Relative energy among the computed polymorphs: 0.26 eV per formula unit
E_tot: -3.0279 eV/atom
Space group: R-3 (148)
Formation energy (no corrections): -610 meV per atom

Cell lengths 6.6375, 6.6375, 6.6375 Å; angles 55.91, 55.91, 55.91 degrees
With the nearest neighbours (Å) after each atom.
Fractional positions:
Cd 0.0000 0.0000 0.0000  6 Cl 2.68
Rh 0.5000 0.5000 0.5000  6 Cl 2.35
Cl 0.0994 0.4425 0.7208  1 Rh 2.35
Cl 0.2792 0.9006 0.5575  1 Rh 2.35
Cl 0.4425 0.7208 0.0994  1 Rh 2.35
Cl 0.5575 0.2792 0.9006  1 Rh 2.35
Cl 0.7208 0.0994 0.4425  1 Rh 2.35
Cl 0.9006 0.5575 0.2792  1 Rh 2.35



Record 6
VASP calculation (PBE) on a relaxed Ac2PmAlO6 crystal.

Output
E_tot: -7.8580 eV/atom
Space group: R-3 (148)
Formation energy (no corrections): -3212 meV per atom

Cell lengths 5.8145, 5.8145, 5.8145 Å; angles 61.85, 61.85, 61.85 degrees
With the nearest neighbours (Å) after each atom.
Fractional positions:
Ac 0.2413 0.2413 0.2413  6 O 2.52-2.77
Ac 0.7587 0.7587 0.7587  6 O 2.52-2.77
Pm 0.5000 0.5000 0.5000  6 O 2.32
Al 0.0000 0.0000 0.0000  6 O 1.96
O 0.1473 0.3096 0.7850  1 Al 1.96
O 0.2150 0.8527 0.6904  1 Al 1.96
O 0.3096 0.7850 0.1473  1 Al 1.96
O 0.6904 0.2150 0.8527  1 Al 1.96
O 0.7850 0.1473 0.3096  1 Al 1.96
O 0.8527 0.6904 0.2150  1 Al 1.96



Record 7
VASP calculation (PBE) on a relaxed Pm3NdTl4Se8 crystal.

Output
E_tot: -4.9057 eV/atom
Space group: R-3m (166)
Formation energy (no corrections): -1383 meV per atom

Cell lengths 9.2123, 9.2123, 9.2123 Å; angles 55.68, 55.68, 55.68 degrees
With the nearest neighbours (Å) after each atom.
Fractional positions:
Pm 0.0000 0.5000 0.5000  6 Se 2.97
Pm 0.5000 0.0000 0.5000  6 Se 2.97
Pm 0.5000 0.5000 0.0000  6 Se 2.97
Nd 0.0000 0.0000 0.0000  6 Se 2.98
Tl 0.0000 0.0000 0.5000  6 Se 3.35-3.36
Tl 0.0000 0.5000 0.0000  6 Se 3.35-3.36
Tl 0.5000 0.0000 0.0000  6 Se 3.35-3.36
Tl 0.5000 0.5000 0.5000  6 Se 3.34
Se 0.2375 0.2375 0.7351  2 Pm 2.97, 1 Nd 2.98
Se 0.2375 0.7351 0.2375  2 Pm 2.97, 1 Nd 2.98
Se 0.2635 0.2635 0.2635  3 Pm 2.97
Se 0.2649 0.7625 0.7625  2 Pm 2.97, 1 Nd 2.98
Se 0.7351 0.2375 0.2375  2 Pm 2.97, 1 Nd 2.98
Se 0.7365 0.7365 0.7365  3 Pm 2.97
Se 0.7625 0.2649 0.7625  2 Pm 2.97, 1 Nd 2.98
Se 0.7625 0.7625 0.2649  2 Pm 2.97, 1 Nd 2.98



Record 8
VASP calculation (PBE) on a relaxed Tb5Er4Th crystal.

Output
Relative energy among the computed polymorphs: 1.56 eV per formula unit
E_tot: -4.5538 eV/atom
Space group: I4 (79)
Formation enthalpy at 0 K: 0.33 eV/atom

Cell lengths 7.8326, 7.8326, 7.8326 Å; angles 99.49, 99.49, 132.10 degrees
With the nearest neighbours (Å) after each atom.
Fractional positions:
Tb 0.0000 0.0000 0.0000  1 Th 2.95, 4 Tb 3.24
Tb 0.0269 0.4046 0.9096  4 Er 3.20-3.52, 1 Tb 3.24, 1 Th 3.28
Tb 0.1173 0.0269 0.6223  4 Er 3.20-3.52, 1 Tb 3.24, 1 Th 3.28
Tb 0.4046 0.4950 0.3777  4 Er 3.20-3.52, 1 Tb 3.24, 1 Th 3.28
Tb 0.4950 0.1173 0.0904  4 Er 3.20-3.52, 1 Tb 3.24, 1 Th 3.28
Er 0.1049 0.7086 0.2958  4 Tb 3.20-3.52, 1 Er 3.28
Er 0.4128 0.8091 0.7042  4 Tb 3.20-3.52, 1 Er 3.28
Er 0.7086 0.4128 0.6037  4 Tb 3.20-3.52, 1 Er 3.28
Er 0.8091 0.1049 0.3963  4 Tb 3.20-3.52, 1 Er 3.28
Th 0.5355 0.5355 0.0000  5 Tb 2.95-3.28



Record 9
VASP calculation (PBE) on a relaxed GaCuAu14 crystal.

Output
E_tot: -3.3246 eV/atom
Space group: Amm2 (38)
Formation enthalpy at 0 K: -0.01 eV/atom

Cell lengths 9.4678, 5.8725, 5.8725 Å; angles 60.52, 90.00, 90.00 degrees
With the nearest neighbours (Å) after each atom.
Fractional positions:
Ga 0.0000 0.0000 0.0000  10 Au 2.78-2.99, 2 Cu 2.96
Cu 0.0000 0.4973 0.4973  10 Au 2.79-3.01, 2 Ga 2.96
Au 0.0000 0.0043 0.5073  2 Cu 2.87-3.01, 8 Au 2.88-2.98, 2 Ga 2.88-2.99
Au 0.0000 0.5073 0.0043  2 Cu 2.87-3.01, 8 Au 2.88-2.98, 2 Ga 2.88-2.99
Au 0.2356 0.3243 0.8240  1 Ga 2.78, 1 Cu 2.79, 10 Au 2.89-3.03
Au 0.2356 0.8240 0.3243  1 Ga 2.78, 1 Cu 2.79, 10 Au 2.89-3.03
Au 0.2486 0.3285 0.3285  11 Au 2.88-2.98, 1 Cu 2.91
Au 0.2520 0.8258 0.8258  11 Au 2.89-2.96, 1 Ga 2.97
Au 0.5000 0.1572 0.1572  12 Au 2.91-3.03
Au 0.5000 0.1602 0.6601  12 Au 2.90-3.01
Au 0.5000 0.6556 0.6556  12 Au 2.90-3.02
Au 0.5000 0.6601 0.1602  12 Au 2.90-3.01
Au 0.7480 0.8258 0.8258  11 Au 2.89-2.96, 1 Ga 2.97
Au 0.7514 0.3285 0.3285  11 Au 2.88-2.98, 1 Cu 2.91
Au 0.7644 0.3243 0.8240  1 Ga 2.78, 1 Cu 2.79, 10 Au 2.89-3.03
Au 0.7644 0.8240 0.3243  1 Ga 2.78, 1 Cu 2.79, 10 Au 2.89-3.03



Record 10
VASP calculation (PBE) on a relaxed CuNi2Br crystal.

Output
Relative energy among the computed polymorphs: 0.34 eV per formula unit
E_tot: -3.9293 eV/atom
Space group: P4mm (99)
Formation energy (no corrections): 404 meV per atom

Cell lengths 3.1284, 3.1284, 5.9983 Å; angles 90.00, 90.00, 90.00 degrees
With the nearest neighbours (Å) after each atom.
Fractional positions:
Cu 0.0000 0.0000 0.0000  5 Ni 2.44-2.55
Ni 0.0000 0.0000 0.4068  1 Cu 2.44, 4 Ni 2.50, 4 Br 2.70
Ni 0.5000 0.5000 0.2116  4 Ni 2.50, 4 Cu 2.55, 1 Br 2.72
Br 0.5000 0.5000 0.6656  5 Ni 2.70-2.72, 4 Cu 2.99



Record 11
VASP calculation (PBE) on a relaxed Ti2BeAuN crystal.

Output
E_tot: -6.9737 eV/atom
Space group: P4/mmm (123)
Formation energy (no corrections): -750 meV per atom

Cell lengths 4.2200, 4.2200, 3.5582 Å; angles 90.00, 90.00, 90.00 degrees
With the nearest neighbours (Å) after each atom.
Fractional positions:
Ti 0.0000 0.5000 0.0000  2 N 2.11
Ti 0.5000 0.0000 0.0000  2 N 2.11
Be 0.0000 0.0000 0.5000  2 N 1.78
Au 0.5000 0.5000 0.5000  8 Ti 2.76, 4 Be 2.98
N 0.0000 0.0000 0.0000  2 Be 1.78



Record 12
VASP calculation (PBE) on a relaxed Y2MnRh crystal.

Output
E_tot: -7.3970 eV/atom
Space group: Pmm2 (25)
Formation enthalpy at 0 K: -0.03 eV/atom

Cell lengths 3.3390, 4.4125, 5.9242 Å; angles 90.00, 90.00, 90.00 degrees
With the nearest neighbours (Å) after each atom.
Fractional positions:
Y 0.0000 0.0000 0.0000  1 Mn 2.77, 4 Rh 2.93
Y 0.5000 0.5000 0.3632  2 Rh 2.80-3.12, 4 Mn 2.94
Mn 0.0000 0.0000 0.5319  5 Y 2.77-2.94
Rh 0.5000 0.5000 0.8365  6 Y 2.80-3.12